Record 1
First-principles (PBE) data for a geometry-optimized TbPr5Ga6 structure, as listed in Alexandria.

CIF file:
```
data_TbPr5Ga6
_cell_length_a 5.237
_cell_length_b 7.391
_cell_length_c 9.065
_cell_angle_alpha 65.95
_cell_angle_beta 73.38
_cell_angle_gamma 89.95
_symmetry_space_group_name_H-M 'P -1'
_symmetry_Int_Tables_number 2
loop_
_symmetry_equiv_pos_as_xyz
'x,y,z'
'-x,-y,-z'
loop_
_atom_site_label
_atom_site_type_symbol
_atom_site_fract_x
_atom_site_fract_y
_atom_site_fract_z
Tb1 Tb 0.000 0.000 0.000
Pr1 Pr 0.000 0.500 0.000
Pr2 Pr 0.328 0.828 0.344
Pr3 Pr 0.336 0.336 0.327
Ga1 Ga 0.163 0.405 0.674
Ga2 Ga 0.163 0.921 0.674
Ga3 Ga 0.500 0.235 0.000
```

Calculated values
Formation energy from the elements: -548 meV/atom
DOS at the Fermi energy: 0.40 states/eV per atom
Crystal system: triclinic

=====

Record 2
First-principles (PBE) data for a geometry-optimized AsSeOF2 structure, as listed in Alexandria.

CIF file:
```
data_AsSeOF2
_cell_length_a 4.621
_cell_length_b 4.621
_cell_length_c 3.744
_cell_angle_alpha 90.00
_cell_angle_beta 90.00
_cell_angle_gamma 90.00
_symmetry_space_group_name_H-M 'P 4/m m m'
_symmetry_Int_Tables_number 123
_symmetry_space_group_name_Hall '-P 4 2'
loop_
_atom_site_label
_atom_site_type_symbol
_atom_site_fract_x
_atom_site_fract_y
_atom_site_fract_z
As1 As 0.000 0.000 0.000
Se1 Se 0.500 0.500 0.500
O1 O 0.500 0.500 0.000
F1 F 0.000 0.500 0.500
```

Calculated values
Relative energy among the computed polymorphs: 429.3 meV/atom
DOS at the Fermi energy: 0.61 states/eV per atom
Crystal system: tetragonal
Raw formation energy: -0.1965 eV per atom

=====

Record 3
First-principles (PBE) data for a geometry-optimized YLuMgCd structure, as listed in Alexandria.

CIF file:
```
data_YLuMgCd
_cell_length_a 7.463
_cell_length_b 7.463
_cell_length_c 7.463
_cell_angle_alpha 90.00
_cell_angle_beta 90.00
_cell_angle_gamma 90.00
_symmetry_space_group_name_H-M 'F -4 3 m'
_symmetry_Int_Tables_number 216
_symmetry_space_group_name_Hall 'F -4 2 3'
loop_
_atom_site_label
_atom_site_type_symbol
_atom_site_fract_x
_atom_site_fract_y
_atom_site_fract_z
Y1 Y 0.000 0.000 0.000
Lu1 Lu 0.000 0.000 0.500
Mg1 Mg 0.250 0.250 0.750
Cd1 Cd 0.250 0.250 0.250
```

Calculated values
Formation energy from the elements: -202 meV/atom
DOS at the Fermi energy: 0.92 states/eV per atom
Crystal system: cubic

=====

Record 4
First-principles (PBE) data for a geometry-optimized Tb3Tl3GeTe8 structure, as listed in Alexandria.

CIF file:
```
data_Tb3Tl3GeTe8
_cell_length_a 8.8068
_cell_length_b 8.8068
_cell_length_c 24.3966
_cell_angle_alpha 90.00
_cell_angle_beta 90.00
_cell_angle_gamma 120.00
_symmetry_space_group_name_H-M 'R -3 m'
_symmetry_Int_Tables_number 166
_symmetry_space_group_name_Hall '-R 3 2"'
loop_
_atom_site_label
_atom_site_type_symbol
_atom_site_fract_x
_atom_site_fract_y
_atom_site_fract_z
Tb1 Tb 0.0000 0.5000 0.0000
Tl1 Tl 0.0000 0.5000 0.5000
Ge1 Ge 0.0000 0.0000 0.0000
Te1 Te 0.0000 0.0000 0.2605
Te2 Te 0.0160 0.5080 0.7346
```

Calculated values
DOS at the Fermi energy: 0.41 states/eV per atom
Crystal system: trigonal
Raw formation energy: -0.7850 eV per atom

=====

Record 5
First-principles (PBE) data for a geometry-optimized RbTaHg structure, as listed in Alexandria.

CIF file:
```
data_RbTaHg
_cell_length_a 8.938
_cell_length_b 3.057
_cell_length_c 11.515
_cell_angle_alpha 90.00
_cell_angle_beta 90.00
_cell_angle_gamma 90.00
_symmetry_space_group_name_H-M 'P n m a'
_symmetry_Int_Tables_number 62
loop_
_symmetry_equiv_pos_as_xyz
'x,y,z'
'-x,-y,-z'
'-x+1/2,-y,z+1/2'
'x+1/2,y,-z+1/2'
'x+1/2,-y+1/2,-z+1/2'
'-x+1/2,y+1/2,z+1/2'
'-x,y+1/2,-z'
'x,-y+1/2,z'
loop_
_atom_site_label
_atom_site_type_symbol
_atom_site_fract_x
_atom_site_fract_y
_atom_site_fract_z
Rb1 Rb 0.141 0.250 0.079
Ta1 Ta 0.033 0.250 0.403
Hg1 Hg 0.181 0.250 0.787
```

Calculated values
Relative energy among the computed polymorphs: 319.5 meV/atom
Formation energy from the elements: 670 meV/atom
DOS at the Fermi energy: 0.65 states/eV per atom
Crystal system: orthorhombic

=====

Record 6
First-principles (PBE) data for a geometry-optimized CoHSBr structure, as listed in Alexandria.

CIF file:
```
data_CoHSBr
_cell_length_a 2.922
_cell_length_b 3.208
_cell_length_c 7.088
_cell_angle_alpha 101.64
_cell_angle_beta 90.19
_cell_angle_gamma 90.00
_symmetry_space_group_name_H-M 'P 1'
_symmetry_Int_Tables_number 1
loop_
_symmetry_equiv_pos_as_xyz
'x,y,z'
loop_
_atom_site_label
_atom_site_type_symbol
_atom_site_fract_x
_atom_site_fract_y
_atom_site_fract_z
Co1 Co 0.000 0.000 0.000
H1 H 0.002 0.095 0.211
S1 S 0.501 0.547 0.106
Br1 Br 0.997 0.843 0.650
```

Calculated values
Relative energy among the computed polymorphs: 263.8 meV/atom
DOS at the Fermi energy: 0.73 states/eV per atom
Crystal system: triclinic